## Y3CoRh (GGA-PBE)

Data for a relaxed structure of Y3CoRh.

Cell and atoms, written as CIF:
```
data_Y3CoRh
_chemical_formula_sum 'Y3 Co1 Rh1'
_space_group_name_H-M_alt 'P m -3 m'
_space_group_IT_number 221
_space_group_name_Hall '-P 4 2 3'
_cell_length_a 5.037
_cell_length_b 5.037
_cell_length_c 5.037
_cell_angle_alpha 90.00
_cell_angle_beta 90.00
_cell_angle_gamma 90.00
loop_
_atom_site_label
_atom_site_type_symbol
_atom_site_fract_x
_atom_site_fract_y
_atom_site_fract_z
Y1 Y 0.000 0.000 0.500
Co1 Co 0.000 0.000 0.000
Rh1 Rh 0.500 0.500 0.500
```

Values from the calculation:
The density of states at the Fermi level is 3.23 states/eV/f.u. Its energy above the lowest structure with this stoichiometry is 482 meV per atom. The energy of formation from the pure elements comes out at 0.030 eV per atom.

## YCo2Rh2 (GGA-PBE)

Data for a relaxed structure of YCo2Rh2.

Cell and atoms, written as CIF:
```
data_YCo2Rh2
_chemical_formula_sum 'Y2 Co4 Rh4'
_space_group_name_H-M_alt 'P 4/m b m'
_space_group_IT_number 127
_space_group_name_Hall '-P 4 2ab'
_cell_length_a 7.272
_cell_length_b 7.272
_cell_length_c 2.891
_cell_angle_alpha 90.00
_cell_angle_beta 90.00
_cell_angle_gamma 90.00
loop_
_atom_site_label
_atom_site_type_symbol
_atom_site_fract_x
_atom_site_fract_y
_atom_site_fract_z
Y1 Y 0.000 0.000 0.000
Co1 Co 0.116 0.384 0.000
Rh1 Rh 0.176 0.676 0.500
```

Values from the calculation:
The density of states at the Fermi level is 5.71 states/eV/f.u. Its energy above the lowest structure with this stoichiometry is 100 meV per atom. The energy of formation from the pure elements comes out at -0.108 eV per atom.

## YCo2Rh (GGA-PBE)

Data for a relaxed structure of YCo2Rh.

Cell and atoms, written as CIF:
```
data_YCo2Rh
_chemical_formula_sum 'Y3 Co6 Rh3'
_space_group_name_H-M_alt 'R -3 m'
_space_group_IT_number 166
_space_group_name_Hall '-R 3 2"'
_cell_length_a 2.9193
_cell_length_b 2.9193
_cell_length_c 26.0929
_cell_angle_alpha 90.00
_cell_angle_beta 90.00
_cell_angle_gamma 120.00
loop_
_atom_site_label
_atom_site_type_symbol
_atom_site_fract_x
_atom_site_fract_y
_atom_site_fract_z
Y1 Y 0.0000 0.0000 0.0000
Co1 Co 0.0000 0.0000 0.2413
Rh1 Rh 0.0000 0.0000 0.5000
```

Values from the calculation:
The density of states at the Fermi level is 4.93 states/eV/f.u. The energy of formation from the pure elements comes out at 0.521 eV per atom.

## YCoRh3 (GGA-PBE)

Data for a relaxed structure of YCoRh3.

Cell and atoms, written as CIF:
```
data_YCoRh3
_chemical_formula_sum 'Y1 Co1 Rh3'
_space_group_name_H-M_alt 'P m -3 m'
_space_group_IT_number 221
_space_group_name_Hall '-P 4 2 3'
_cell_length_a 4.836
_cell_length_b 4.836
_cell_length_c 4.836
_cell_angle_alpha 90.00
_cell_angle_beta 90.00
_cell_angle_gamma 90.00
loop_
_atom_site_label
_atom_site_type_symbol
_atom_site_fract_x
_atom_site_fract_y
_atom_site_fract_z
Y1 Y 0.000 0.000 0.000
Co1 Co 0.500 0.500 0.500
Rh1 Rh 0.000 0.000 0.500
```

Values from the calculation:
The density of states at the Fermi level is 17.74 states/eV/f.u. Its energy above the lowest structure with this stoichiometry is 1604 meV per atom. The energy of formation from the pure elements comes out at 1.753 eV per atom.

## YCoRh3 (GGA-PBE)

Data for a relaxed structure of YCoRh3.

Cell and atoms, written as CIF:
```
data_YCoRh3
_chemical_formula_sum 'Y1 Co1 Rh3'
_space_group_name_H-M_alt 'P m -3 m'
_space_group_IT_number 221
_space_group_name_Hall '-P 4 2 3'
_cell_length_a 4.523
_cell_length_b 4.523
_cell_length_c 4.523
_cell_angle_alpha 90.00
_cell_angle_beta 90.00
_cell_angle_gamma 90.00
loop_
_atom_site_label
_atom_site_type_symbol
_atom_site_fract_x
_atom_site_fract_y
_atom_site_fract_z
Y1 Y 0.000 0.000 0.000
Co1 Co 0.500 0.500 0.500
Rh1 Rh 0.000 0.500 0.500
```

Values from the calculation:
The density of states at the Fermi level is 4.70 states/eV/f.u. Its energy above the lowest structure with this stoichiometry is 0 meV per atom. The energy of formation from the pure elements comes out at 0.149 eV per atom.

## YCo2Rh2 (GGA-PBE)

Data for a relaxed structure of YCo2Rh2.

Cell and atoms, written as CIF:
```
data_YCo2Rh2
_chemical_formula_sum 'Y2 Co4 Rh4'
_space_group_name_H-M_alt 'P 4/m b m'
_space_group_IT_number 127
_space_group_name_Hall '-P 4 2ab'
_cell_length_a 7.320
_cell_length_b 7.320
_cell_length_c 2.867
_cell_angle_alpha 90.00
_cell_angle_beta 90.00
_cell_angle_gamma 90.00
loop_
_atom_site_label
_atom_site_type_symbol
_atom_site_fract_x
_atom_site_fract_y
_atom_site_fract_z
Y1 Y 0.000 0.000 0.000
Co1 Co 0.168 0.332 0.500
Rh1 Rh 0.129 0.629 0.000
```

Values from the calculation:
The density of states at the Fermi level is 5.82 states/eV/f.u. Its energy above the lowest structure with this stoichiometry is 160 meV per atom. The energy of formation from the pure elements comes out at -0.047 eV per atom.

## Y4CoRh (GGA-PBE)

Data for a relaxed structure of Y4CoRh.

Cell and atoms, written as CIF:
```
data_Y4CoRh
_chemical_formula_sum 'Y16 Co4 Rh4'
_space_group_name_H-M_alt 'F -4 3 m'
_space_group_IT_number 216
_space_group_name_Hall 'F -4 2 3'
_cell_length_a 8.456
_cell_length_b 8.456
_cell_length_c 8.456
_cell_angle_alpha 90.00
_cell_angle_beta 90.00
_cell_angle_gamma 90.00
loop_
_atom_site_label
_atom_site_type_symbol
_atom_site_fract_x
_atom_site_fract_y
_atom_site_fract_z
Y1 Y 0.124 0.124 0.376
Co1 Co 0.000 0.000 0.000
Rh1 Rh 0.250 0.250 0.750
```

Values from the calculation:
The density of states at the Fermi level is 9.97 states/eV/f.u. Its energy above the lowest structure with this stoichiometry is 1240 meV per atom. The energy of formation from the pure elements comes out at 0.867 eV per atom.

## Y2Co2Rh (GGA-PBE)

Data for a relaxed structure of Y2Co2Rh.

Cell and atoms, written as CIF:
```
data_Y2Co2Rh
_chemical_formula_sum 'Y4 Co4 Rh2'
_space_group_name_H-M_alt 'P 4/m b m'
_space_group_IT_number 127
_space_group_name_Hall '-P 4 2ab'
_cell_length_a 6.712
_cell_length_b 6.712
_cell_length_c 4.019
_cell_angle_alpha 90.00
_cell_angle_beta 90.00
_cell_angle_gamma 90.00
loop_
_atom_site_label
_atom_site_type_symbol
_atom_site_fract_x
_atom_site_fract_y
_atom_site_fract_z
Y1 Y 0.185 0.315 0.000
Co1 Co 0.117 0.617 0.500
Rh1 Rh 0.000 0.000 0.500
```

Values from the calculation:
The density of states at the Fermi level is 5.17 states/eV/f.u. The energy of formation from the pure elements comes out at -0.282 eV per atom.

## Zn2CoRh (GGA-PBE)

Data for a relaxed structure of Zn2CoRh.

Cell and atoms, written as CIF:
```
data_Zn2CoRh
_chemical_formula_sum 'Zn4 Co2 Rh2'
_space_group_name_H-M_alt 'I -4 m 2'
_space_group_IT_number 119
_space_group_name_Hall 'I -4 -2'
_cell_length_a 3.764
_cell_length_b 3.764
_cell_length_c 7.474
_cell_angle_alpha 90.00
_cell_angle_beta 90.00
_cell_angle_gamma 90.00
loop_
_atom_site_label
_atom_site_type_symbol
_atom_site_fract_x
_atom_site_fract_y
_atom_site_fract_z
Zn1 Zn 0.000 0.000 0.000
Zn2 Zn 0.000 0.500 0.250
Co1 Co 0.000 0.500 0.750
Rh1 Rh 0.000 0.000 0.500
```

Values from the calculation:
The density of states at the Fermi level is 4.77 states/eV/f.u. The energy of formation from the pure elements comes out at -0.108 eV per atom.

## ZnCoRh2 (GGA-PBE)

Data for a relaxed structure of ZnCoRh2.

Cell and atoms, written as CIF:
```
data_ZnCoRh2
_chemical_formula_sum 'Zn2 Co2 Rh4'
_space_group_name_H-M_alt 'A m m 2'
_space_group_IT_number 38
_cell_length_a 4.077
_cell_length_b 2.695
_cell_length_c 9.793
_cell_angle_alpha 90.00
_cell_angle_beta 90.00
_cell_angle_gamma 90.00
loop_
_space_group_symop_operation_xyz
'x,y,z'
'-x,-y,z'
'-x,y,z'
'x,-y,z'
'x,y+1/2,z+1/2'
'-x,-y+1/2,z+1/2'
'-x,y+1/2,z+1/2'
'x,-y+1/2,z+1/2'
loop_
_atom_site_label
_atom_site_type_symbol
_atom_site_fract_x
_atom_site_fract_y
_atom_site_fract_z
Zn1 Zn 0.000 0.000 0.000
Co1 Co 0.500 0.000 0.142
Rh1 Rh 0.000 0.000 0.738
Rh2 Rh 0.500 0.000 0.399
```

Values from the calculation:
The density of states at the Fermi level is 6.02 states/eV/f.u. The energy of formation from the pure elements comes out at -0.027 eV per atom.